Entry from Alexandria: KTiAsO6 after structural relaxation (PBE).

## Properties
Calculated total energy = -6.376 eV/atom
Density = 3.14 g cm⁻³
Total magnetization = 0.22 μB/atom
Uncorrected formation energy = -1.5549 eV per atom

Cell and atoms, written as POSCAR:
```
KTiAsO6
1.0
-0.482 5.097 1.397
-4.302 -3.096 -0.269
1.356 -2.820 10.753
K Ti As O
2 2 2 12
Direct
0.000 0.000 0.000
0.000 0.000 0.500
0.667 0.333 0.250
0.333 0.667 0.750
0.333 0.667 0.250
0.667 0.333 0.750
0.587 0.603 0.159
0.016 0.413 0.159
0.413 0.016 0.659
0.984 0.587 0.841
0.397 0.413 0.341
0.016 0.603 0.341
0.603 0.016 0.841
0.587 0.984 0.341
0.984 0.397 0.659
0.397 0.984 0.159
0.603 0.587 0.659
0.413 0.397 0.841
```